[1]
Below is a geometry-optimized Ac4Ge2AsBr structure, with properties calculated at the GGA-PBE level.

Computed properties:
E_tot, eV per atom: -5.12
Raw formation energy, meV per atom: -1120.1
Volume, Å³/f.u.: 269.2
Density, Mg/m³: 7.452

Cell lengths 7.911, 7.911, 7.911 Å; angles 131.85, 131.85, 70.47 degrees
Fractional coordinates of all 8 atoms:
Ac: 0.000 0.500 0.500
Ac: 0.240 0.240 0.000
Ac: 0.500 0.000 0.500
Ac: 0.760 0.760 0.000
Ge: 0.250 0.750 0.500
Ge: 0.750 0.250 0.500
As: 0.000 0.000 0.000
Br: 0.500 0.500 0.000

---

[2]
Below is a geometry-optimized AcLa2P2N6 structure, with properties calculated at the GGA-PBE level.

Computed properties:
E_tot, eV per atom: -7.79
Raw formation energy, meV per atom: -992.4
Volume, Å³/f.u.: 173.4
Density, Mg/m³: 6.231

Cell lengths 5.744, 5.744, 7.062 Å; angles 115.23, 115.23, 58.56 degrees
Fractional coordinates of all 11 atoms:
Ac: 0.000 0.000 0.000
La: 0.202 0.202 0.669
La: 0.798 0.798 0.331
P: 0.466 0.466 0.255
P: 0.534 0.534 0.745
N: 0.196 0.679 0.658
N: 0.285 0.285 0.137
N: 0.321 0.804 0.342
N: 0.679 0.196 0.658
N: 0.715 0.715 0.863
N: 0.804 0.321 0.342

---

[3]
Below is a geometry-optimized Ce4MgP3Rh12 structure, with properties calculated at the GGA-PBE level.

Computed properties:
E_tot, eV per atom: -7.01
Volume, Å³/f.u.: 367.2
Formation energy, meV/atom: -520
Density, Mg/m³: 8.649

Cell lengths 7.813, 7.813, 7.813 Å; angles 109.47, 109.47, 109.47 degrees
Fractional coordinates of all 20 atoms:
Ce: 0.000 0.000 0.500
Ce: 0.000 0.500 0.000
Ce: 0.500 0.000 0.000
Ce: 0.500 0.500 0.500
Mg: 0.000 0.000 0.000
P: 0.000 0.500 0.500
P: 0.500 0.000 0.500
P: 0.500 0.500 0.000
Rh: 0.000 0.262 0.262
Rh: 0.000 0.738 0.738
Rh: 0.250 0.500 0.750
Rh: 0.250 0.750 0.500
Rh: 0.262 0.000 0.262
Rh: 0.262 0.262 0.000
Rh: 0.500 0.250 0.750
Rh: 0.500 0.750 0.250
Rh: 0.738 0.000 0.738
Rh: 0.738 0.738 0.000
Rh: 0.750 0.250 0.500
Rh: 0.750 0.500 0.250

---

[4]
Below is a geometry-optimized TlP structure, with properties calculated at the GGA-PBE level.

Computed properties:
E_tot, eV per atom: -3.67
Volume, Å³/f.u.: 50.4
Formation energy, meV/atom: 223
Density, Mg/m³: 7.751

Cell lengths 6.829, 6.829, 7.793 Å; angles 115.50, 115.50, 27.67 degrees
Fractional coordinates of all 6 atoms:
Tl: 0.000 0.000 0.000
Tl: 0.020 0.020 0.578
Tl: 0.724 0.724 0.394
P: 0.269 0.269 0.772
P: 0.365 0.365 0.206
P: 0.754 0.754 0.979

---

[5]
Below is a geometry-optimized K3H12Pd5 structure, with properties calculated at the GGA-PBE level.

Computed properties:
E_tot, eV per atom: -3.51
Volume, Å³/f.u.: 233.9
Density, Mg/m³: 4.697

Cell lengths 10.671, 10.671, 10.671 Å; angles 109.47, 109.47, 109.47 degrees
Fractional coordinates of all 80 atoms:
K: 0.125 0.250 0.375
K: 0.125 0.375 0.750
K: 0.250 0.375 0.125
K: 0.250 0.875 0.625
K: 0.375 0.125 0.250
K: 0.375 0.750 0.125
K: 0.625 0.250 0.875
K: 0.625 0.875 0.750
K: 0.750 0.125 0.375
K: 0.750 0.625 0.875
K: 0.875 0.625 0.250
K: 0.875 0.750 0.625
H: 0.015 0.677 0.101
H: 0.015 0.838 0.914
H: 0.076 0.662 0.677
H: 0.076 0.914 0.399
H: 0.086 0.601 0.924
H: 0.086 0.985 0.162
H: 0.101 0.015 0.677
H: 0.101 0.586 0.424
H: 0.162 0.086 0.985
H: 0.162 0.576 0.177
H: 0.177 0.162 0.576
H: 0.177 0.515 0.601
H: 0.323 0.899 0.985
H: 0.323 0.924 0.338
H: 0.338 0.323 0.924
H: 0.338 0.515 0.414
H: 0.399 0.076 0.914
H: 0.399 0.823 0.485
H: 0.414 0.338 0.515
H: 0.414 0.576 0.899
H: 0.424 0.101 0.586
H: 0.424 0.823 0.838
H: 0.485 0.399 0.823
H: 0.485 0.586 0.662
H: 0.515 0.414 0.338
H: 0.515 0.601 0.177
H: 0.576 0.177 0.162
H: 0.576 0.899 0.414
H: 0.586 0.424 0.101
H: 0.586 0.662 0.485
H: 0.601 0.177 0.515
H: 0.601 0.924 0.086
H: 0.662 0.485 0.586
H: 0.662 0.677 0.076
H: 0.677 0.076 0.662
H: 0.677 0.101 0.015
H: 0.823 0.485 0.399
H: 0.823 0.838 0.424
H: 0.838 0.424 0.823
H: 0.838 0.914 0.015
H: 0.899 0.414 0.576
H: 0.899 0.985 0.323
H: 0.914 0.015 0.838
H: 0.914 0.399 0.076
H: 0.924 0.086 0.601
H: 0.924 0.338 0.323
H: 0.985 0.162 0.086
H: 0.985 0.323 0.899
Pd: 0.000 0.000 0.000
Pd: 0.000 0.000 0.500
Pd: 0.000 0.500 0.000
Pd: 0.000 0.500 0.500
Pd: 0.125 0.750 0.875
Pd: 0.125 0.875 0.250
Pd: 0.250 0.125 0.875
Pd: 0.250 0.625 0.375
Pd: 0.375 0.250 0.625
Pd: 0.375 0.625 0.750
Pd: 0.500 0.000 0.000
Pd: 0.500 0.000 0.500
Pd: 0.500 0.500 0.000
Pd: 0.500 0.500 0.500
Pd: 0.625 0.375 0.250
Pd: 0.625 0.750 0.375
Pd: 0.750 0.375 0.625
Pd: 0.750 0.875 0.125
Pd: 0.875 0.125 0.750
Pd: 0.875 0.250 0.125

---

[6]
Below is a geometry-optimized SmTl2Pd7 structure, with properties calculated at the GGA-PBE level.

Computed properties:
E_tot, eV per atom: -4.62
Volume, Å³/f.u.: 230.9
Formation energy, meV/atom: -37
Density, Mg/m³: 9.380

Cell lengths 8.077, 8.077, 4.367 Å; angles 90.00, 90.00, 125.88 degrees
Fractional coordinates of all 10 atoms:
Sm: 0.000 0.000 0.000
Tl: 0.303 0.697 0.500
Tl: 0.697 0.303 0.500
Pd: 0.081 0.285 0.500
Pd: 0.191 0.809 0.000
Pd: 0.285 0.081 0.500
Pd: 0.500 0.500 0.500
Pd: 0.715 0.919 0.500
Pd: 0.809 0.191 0.000
Pd: 0.919 0.715 0.500

---

Which of these has the highest density?
SmTl2Pd7

---

What is the formula in the third record?
Ce4MgP3Rh12

---

Among the records above, which one has the lowest volume?
TlP

---

Repeat the fifth record exactly.
Below is a geometry-optimized K3H12Pd5 structure, with properties calculated at the GGA-PBE level.

Computed properties:
E_tot, eV per atom: -3.51
Volume, Å³/f.u.: 233.9
Density, Mg/m³: 4.697

Cell lengths 10.671, 10.671, 10.671 Å; angles 109.47, 109.47, 109.47 degrees
Fractional coordinates of all 80 atoms:
K: 0.125 0.250 0.375
K: 0.125 0.375 0.750
K: 0.250 0.375 0.125
K: 0.250 0.875 0.625
K: 0.375 0.125 0.250
K: 0.375 0.750 0.125
K: 0.625 0.250 0.875
K: 0.625 0.875 0.750
K: 0.750 0.125 0.375
K: 0.750 0.625 0.875
K: 0.875 0.625 0.250
K: 0.875 0.750 0.625
H: 0.015 0.677 0.101
H: 0.015 0.838 0.914
H: 0.076 0.662 0.677
H: 0.076 0.914 0.399
H: 0.086 0.601 0.924
H: 0.086 0.985 0.162
H: 0.101 0.015 0.677
H: 0.101 0.586 0.424
H: 0.162 0.086 0.985
H: 0.162 0.576 0.177
H: 0.177 0.162 0.576
H: 0.177 0.515 0.601
H: 0.323 0.899 0.985
H: 0.323 0.924 0.338
H: 0.338 0.323 0.924
H: 0.338 0.515 0.414
H: 0.399 0.076 0.914
H: 0.399 0.823 0.485
H: 0.414 0.338 0.515
H: 0.414 0.576 0.899
H: 0.424 0.101 0.586
H: 0.424 0.823 0.838
H: 0.485 0.399 0.823
H: 0.485 0.586 0.662
H: 0.515 0.414 0.338
H: 0.515 0.601 0.177
H: 0.576 0.177 0.162
H: 0.576 0.899 0.414
H: 0.586 0.424 0.101
H: 0.586 0.662 0.485
H: 0.601 0.177 0.515
H: 0.601 0.924 0.086
H: 0.662 0.485 0.586
H: 0.662 0.677 0.076
H: 0.677 0.076 0.662
H: 0.677 0.101 0.015
H: 0.823 0.485 0.399
H: 0.823 0.838 0.424
H: 0.838 0.424 0.823
H: 0.838 0.914 0.015
H: 0.899 0.414 0.576
H: 0.899 0.985 0.323
H: 0.914 0.015 0.838
H: 0.914 0.399 0.076
H: 0.924 0.086 0.601
H: 0.924 0.338 0.323
H: 0.985 0.162 0.086
H: 0.985 0.323 0.899
Pd: 0.000 0.000 0.000
Pd: 0.000 0.000 0.500
Pd: 0.000 0.500 0.000
Pd: 0.000 0.500 0.500
Pd: 0.125 0.750 0.875
Pd: 0.125 0.875 0.250
Pd: 0.250 0.125 0.875
Pd: 0.250 0.625 0.375
Pd: 0.375 0.250 0.625
Pd: 0.375 0.625 0.750
Pd: 0.500 0.000 0.000
Pd: 0.500 0.000 0.500
Pd: 0.500 0.500 0.000
Pd: 0.500 0.500 0.500
Pd: 0.625 0.375 0.250
Pd: 0.625 0.750 0.375
Pd: 0.750 0.375 0.625
Pd: 0.750 0.875 0.125
Pd: 0.875 0.125 0.750
Pd: 0.875 0.250 0.125